# 1
The following is a DFT calculation (PBE) of an optimized crystal structure of GaH2Br.

Geometry as POSCAR:
```
GaH2Br
1.0
5.5019 0.0000 0.0000
0.0000 5.5019 0.0000
0.0000 0.0000 7.7755
Ga H Br
4 8 4
direct
0.0000 0.0000 0.0000
0.0000 0.5000 0.2500
0.5000 0.0000 0.7500
0.5000 0.5000 0.5000
0.0028 0.7500 0.1250
0.2500 0.0028 0.8750
0.2500 0.4972 0.3750
0.4972 0.7500 0.6250
0.5028 0.2500 0.6250
0.7500 0.5028 0.3750
0.7500 0.9972 0.8750
0.9972 0.2500 0.1250
0.0000 0.0000 0.5000
0.0000 0.5000 0.7500
0.5000 0.0000 0.2500
0.5000 0.5000 0.0000
```

Properties
- E above lowest polymorph (meV/atom) = 293
- SG = I-42d

# 2
The following is a DFT calculation (PBE) of an optimized crystal structure of La2Pr4DyEr.

Geometry as POSCAR:
```
La2Pr4DyEr
1.0
5.1717 0.0000 0.0000
0.0000 5.2069 0.0000
-0.0196 0.0000 10.4348
La Pr Dy Er
2 4 1 1
direct
0.0000 0.0000 0.0000
0.5000 0.5000 0.5000
0.0000 0.5000 0.2501
0.0000 0.5000 0.7499
0.4993 0.0000 0.7490
0.5007 0.0000 0.2510
0.5000 0.5000 0.0000
0.0000 0.0000 0.5000
```

Properties
- total energy (eV/atom) = -4.75
- SG = P2/m

What did the second record say?
The following is a DFT calculation (PBE) of an optimized crystal structure of La2Pr4DyEr.

Geometry as POSCAR:
```
La2Pr4DyEr
1.0
5.1717 0.0000 0.0000
0.0000 5.2069 0.0000
-0.0196 0.0000 10.4348
La Pr Dy Er
2 4 1 1
direct
0.0000 0.0000 0.0000
0.5000 0.5000 0.5000
0.0000 0.5000 0.2501
0.0000 0.5000 0.7499
0.4993 0.0000 0.7490
0.5007 0.0000 0.2510
0.5000 0.5000 0.0000
0.0000 0.0000 0.5000
```

Properties
- total energy (eV/atom) = -4.75
- SG = P2/m